The following is a GGA-PBE calculation of a geometry-optimized Ac2Zn3Hg5 structure, from the Alexandria database.

Geometry as CIF:
```
data_Ac2Zn3Hg5
_chemical_formula_sum 'Ac8 Zn12 Hg20'
_symmetry_space_group_name_H-M 'I b a m'
_symmetry_Int_Tables_number 72
_symmetry_space_group_name_Hall '-I 2 2c'
_cell_length_a 10.988
_cell_length_b 13.480
_cell_length_c 6.741
_cell_angle_alpha 90.00
_cell_angle_beta 90.00
_cell_angle_gamma 90.00
loop_
_atom_site_label
_atom_site_fract_x
_atom_site_fract_y
_atom_site_fract_z
Ac1 0.244 0.131 0.000
Zn1 0.000 0.500 0.250
Zn2 0.121 0.129 0.500
Hg1 0.000 0.000 0.250
Hg2 0.000 0.256 0.250
Hg3 0.145 0.394 0.000
```

Values from the calculation:
uncorrected energy = -1.6582 eV per atom


The following is a GGA-PBE calculation of a geometry-optimized TiGaI2N structure, from the Alexandria database.

Geometry as CIF:
```
data_TiGaI2N
_chemical_formula_sum 'Ti1 Ga1 I2 N1'
_symmetry_space_group_name_H-M 'P 4/m m m'
_symmetry_Int_Tables_number 123
_symmetry_space_group_name_Hall '-P 4 2'
_cell_length_a 5.816
_cell_length_b 5.816
_cell_length_c 3.810
_cell_angle_alpha 90.00
_cell_angle_beta 90.00
_cell_angle_gamma 90.00
loop_
_atom_site_label
_atom_site_fract_x
_atom_site_fract_y
_atom_site_fract_z
Ti1 0.000 0.000 0.000
Ga1 0.500 0.500 0.500
I1 0.000 0.500 0.000
N1 0.000 0.000 0.500
```

Values from the calculation:
distance to the lowest polymorph of the same formula = 0.0000 eV/atom
uncorrected energy = -4.7097 eV per atom
ΔE_f (raw) = -0.240 eV/atom


The following is a GGA-PBE calculation of a geometry-optimized CrSi4Os structure, from the Alexandria database.

Geometry as CIF:
```
data_CrSi4Os
_chemical_formula_sum 'Cr4 Si16 Os4'
_symmetry_space_group_name_H-M 'F -4 3 m'
_symmetry_Int_Tables_number 216
_symmetry_space_group_name_Hall 'F -4 2 3'
_cell_length_a 6.802
_cell_length_b 6.802
_cell_length_c 6.802
_cell_angle_alpha 90.00
_cell_angle_beta 90.00
_cell_angle_gamma 90.00
loop_
_atom_site_label
_atom_site_fract_x
_atom_site_fract_y
_atom_site_fract_z
Cr1 0.000 0.000 0.000
Si1 0.125 0.125 0.625
Os1 0.250 0.250 0.250
```

Values from the calculation:
uncorrected energy = -6.5124 eV per atom
ΔE_f (raw) = 0.578 eV/atom


The following is a GGA-PBE calculation of a geometry-optimized Ca2Pd2Ru structure, from the Alexandria database.

Geometry as CIF:
```
data_Ca2Pd2Ru
_chemical_formula_sum 'Ca4 Pd4 Ru2'
_symmetry_space_group_name_H-M 'P 4/m b m'
_symmetry_Int_Tables_number 127
_symmetry_space_group_name_Hall '-P 4 2ab'
_cell_length_a 6.908
_cell_length_b 6.908
_cell_length_c 4.401
_cell_angle_alpha 90.00
_cell_angle_beta 90.00
_cell_angle_gamma 90.00
loop_
_atom_site_label
_atom_site_fract_x
_atom_site_fract_y
_atom_site_fract_z
Ca1 0.177 0.323 0.000
Pd1 0.136 0.636 0.500
Ru1 0.000 0.000 0.500
```

Values from the calculation:
uncorrected energy = -4.9328 eV per atom


The following is a GGA-PBE calculation of a geometry-optimized MgMn2TlBr8 structure, from the Alexandria database.

Geometry as CIF:
```
data_MgMn2TlBr8
_chemical_formula_sum 'Mg1 Mn2 Tl1 Br8'
_symmetry_space_group_name_H-M 'P -3'
_symmetry_Int_Tables_number 147
_cell_length_a 6.8793
_cell_length_b 6.8793
_cell_length_c 9.4144
_cell_angle_alpha 90.00
_cell_angle_beta 90.00
_cell_angle_gamma 120.00
loop_
_symmetry_equiv_pos_as_xyz
'x,y,z'
'-x,-y,-z'
'-y,x-y,z'
'y,-x+y,-z'
'-x+y,-x,z'
'x-y,x,-z'
loop_
_atom_site_label
_atom_site_fract_x
_atom_site_fract_y
_atom_site_fract_z
Mg1 0.0000 0.0000 0.0000
Mn1 0.3333 0.6667 0.2355
Tl1 0.0000 0.0000 0.5000
Br1 0.0061 0.6880 0.8291
Br2 0.3333 0.6667 0.4887
```

Values from the calculation:
uncorrected energy = -3.8293 eV per atom
ΔE_f (raw) = -0.856 eV/atom


The following is a GGA-PBE calculation of a geometry-optimized Si3IrPt structure, from the Alexandria database.

Geometry as CIF:
```
data_Si3IrPt
_chemical_formula_sum 'Si6 Ir2 Pt2'
_symmetry_space_group_name_H-M 'P 1 21/m 1'
_symmetry_Int_Tables_number 11
_cell_length_a 6.901
_cell_length_b 2.845
_cell_length_c 8.121
_cell_angle_alpha 90.00
_cell_angle_beta 93.09
_cell_angle_gamma 90.00
loop_
_symmetry_equiv_pos_as_xyz
'x,y,z'
'-x,-y,-z'
'-x,y+1/2,-z'
'x,-y+1/2,z'
loop_
_atom_site_label
_atom_site_fract_x
_atom_site_fract_y
_atom_site_fract_z
Si1 0.035 0.250 0.127
Si2 0.164 0.750 0.448
Si3 0.384 0.750 0.884
Ir1 0.176 0.250 0.693
Pt1 0.336 0.750 0.193
```

Values from the calculation:
distance to the lowest polymorph of the same formula = 0.0000 eV/atom
uncorrected energy = -6.5979 eV per atom
ΔE_f (raw) = -0.364 eV/atom


The following is a GGA-PBE calculation of a geometry-optimized Ac2SnPtPb structure, from the Alexandria database.

Geometry as CIF:
```
data_Ac2SnPtPb
_chemical_formula_sum 'Ac4 Sn2 Pt2 Pb2'
_symmetry_space_group_name_H-M 'P 1 21/m 1'
_symmetry_Int_Tables_number 11
_cell_length_a 6.931
_cell_length_b 4.768
_cell_length_c 9.354
_cell_angle_alpha 90.00
_cell_angle_beta 93.75
_cell_angle_gamma 90.00
loop_
_symmetry_equiv_pos_as_xyz
'x,y,z'
'-x,-y,-z'
'-x,y+1/2,-z'
'x,-y+1/2,z'
loop_
_atom_site_label
_atom_site_fract_x
_atom_site_fract_y
_atom_site_fract_z
Ac1 0.231 0.250 0.456
Ac2 0.239 0.250 0.023
Sn1 0.440 0.750 0.248
Pt1 0.043 0.750 0.247
Pb1 0.231 0.750 0.742
```

Values from the calculation:
uncorrected energy = -5.1386 eV per atom


The following is a GGA-PBE calculation of a geometry-optimized BaSb2 structure, from the Alexandria database.

Geometry as CIF:
```
data_BaSb2
_chemical_formula_sum 'Ba4 Sb8'
_symmetry_space_group_name_H-M 'I 41/a m d'
_symmetry_Int_Tables_number 141
_cell_length_a 4.834
_cell_length_b 4.834
_cell_length_c 19.334
_cell_angle_alpha 90.00
_cell_angle_beta 90.00
_cell_angle_gamma 90.00
loop_
_symmetry_equiv_pos_as_xyz
'x,y,z'
'-x,-y,-z'
'-y+1/4,x+3/4,z+1/4'
'y+1/4,-x+3/4,-z+1/4'
'-x+1/2,-y,z+1/2'
'x+1/2,y,-z+1/2'
'y+1/4,-x+1/4,z+3/4'
'-y+1/4,x+1/4,-z+3/4'
'x,-y,-z'
'-x,y,z'
'-y+1/4,-x+1/4,-z+3/4'
'y+1/4,x+1/4,z+3/4'
'-x+1/2,y,-z+1/2'
'x+1/2,-y,z+1/2'
'y+1/4,x+3/4,-z+1/4'
'-y+1/4,-x+3/4,z+1/4'
'x+1/2,y+1/2,z+1/2'
'-x+1/2,-y+1/2,-z+1/2'
'-y+3/4,x+1/4,z+3/4'
'y+3/4,-x+1/4,-z+3/4'
'-x,-y+1/2,z'
'x,y+1/2,-z'
'y+3/4,-x+3/4,z+1/4'
'-y+3/4,x+3/4,-z+1/4'
'x+1/2,-y+1/2,-z+1/2'
'-x+1/2,y+1/2,z+1/2'
'-y+3/4,-x+3/4,-z+1/4'
'y+3/4,x+3/4,z+1/4'
'-x,y+1/2,-z'
'x,-y+1/2,z'
'y+3/4,x+1/4,-z+3/4'
'-y+3/4,-x+1/4,z+3/4'
loop_
_atom_site_label
_atom_site_fract_x
_atom_site_fract_y
_atom_site_fract_z
Ba1 0.000 0.250 0.375
Sb1 0.000 0.250 0.796
```

Values from the calculation:
uncorrected energy = -4.0320 eV per atom
ΔE_f (raw) = -0.643 eV/atom


no.,M_tot (μB/f.u.)
1,0.00
2,0.00
3,2.48
4,1.13
5,9.00
6,0.00
7,0.00
8,0.00